Co3W, single point on PBEsol structure, DFT SCAN; E_form = 0.10 eV per atom; total DFT energy (no corrections) = -30.3018 eV/atom
1.0
5.042 0.000 0.000
-2.521 4.367 0.000
0.000 0.000 4.040
Co W
6 2
Direct
0.162 0.323 0.250 Co
0.162 0.838 0.250 Co
0.323 0.162 0.750 Co
0.677 0.838 0.250 Co
0.838 0.162 0.750 Co
0.838 0.677 0.750 Co
0.333 0.667 0.750 W
0.667 0.333 0.250 W


TcAgBr2, single point on PBEsol structure, DFT SCAN; total DFT energy (no corrections) = -25.6583 eV/atom; energy relative to the lowest polymorph listed for this composition = 178 meV/atom; formation energy without anion corrections = 2.71 eV/f.u.
1.0
3.346 -3.364 0.000
3.346 3.364 0.000
0.000 0.000 3.208
Tc Ag Br
1 1 2
Direct
0.000 0.000 0.000 Tc
0.500 0.500 0.000 Ag
0.000 0.500 0.500 Br
0.500 0.000 0.500 Br


Li2Ni, single point on PBEsol structure, DFT SCAN; E_form = 0.11 eV per atom; total DFT energy (no corrections) = -6.8782 eV/atom
1.0
0.000 5.540 5.540
5.540 0.000 5.540
5.540 5.540 0.000
Li Ni
16 8
Direct
0.000 0.000 0.000 Li
0.000 0.000 0.500 Li
0.000 0.500 0.000 Li
0.174 0.174 0.576 Li
0.174 0.576 0.174 Li
0.174 0.576 0.576 Li
0.424 0.424 0.826 Li
0.424 0.826 0.424 Li
0.424 0.826 0.826 Li
0.500 0.000 0.000 Li
0.576 0.174 0.174 Li
0.576 0.174 0.576 Li
0.576 0.576 0.174 Li
0.826 0.424 0.424 Li
0.826 0.424 0.826 Li
0.826 0.826 0.424 Li
0.103 0.799 0.799 Ni
0.201 0.201 0.201 Ni
0.201 0.201 0.897 Ni
0.201 0.897 0.201 Ni
0.799 0.103 0.799 Ni
0.799 0.799 0.103 Ni
0.799 0.799 0.799 Ni
0.897 0.201 0.201 Ni


CrHSe2, single point on PBEsol structure, DFT SCAN; total DFT energy (no corrections) = -15.8076 eV/atom; energy relative to the lowest polymorph listed for this composition = 211 meV/atom
1.0
3.049 0.000 0.000
0.000 5.671 0.000
1.035 1.230 8.601
Cr H Se
2 2 4
Direct
0.247 0.188 0.009 Cr
0.753 0.812 0.991 Cr
0.454 0.507 0.461 H
0.546 0.493 0.539 H
0.198 0.537 0.152 Se
0.319 0.968 0.795 Se
0.681 0.032 0.205 Se
0.802 0.463 0.848 Se


AlPtCl, single point on PBEsol structure, DFT SCAN; total DFT energy (no corrections) = -29.2575 eV/atom; formation energy without anion corrections = -1.85 eV/f.u.
1.0
-1.477 1.477 6.044
1.477 -1.477 6.044
1.477 1.477 -6.044
Al Pt Cl
1 1 1
Direct
0.000 0.000 0.000 Al
0.384 0.384 0.000 Pt
0.642 0.642 0.000 Cl


BeCu3, single point on PBEsol structure, DFT SCAN; E_form = -0.06 eV per atom; total DFT energy (no corrections) = -12.5516 eV/atom
1.0
4.800 0.000 0.000
0.000 4.800 0.000
0.000 0.000 3.642
Be Cu
2 6
Direct
0.000 0.500 0.000 Be
0.500 0.000 0.000 Be
0.000 0.000 0.000 Cu
0.211 0.289 0.500 Cu
0.289 0.789 0.500 Cu
0.500 0.500 0.000 Cu
0.711 0.211 0.500 Cu
0.789 0.711 0.500 Cu


ScCd2Ir, single point on PBEsol structure, DFT SCAN; E_form = -0.19 eV per atom; total DFT energy (no corrections) = -36.7316 eV/atom
1.0
3.005 0.000 0.000
0.000 4.287 0.000
0.000 0.000 5.539
Sc Cd Ir
1 2 1
Direct
0.000 0.000 0.000 Sc
0.500 0.500 0.261 Cd
0.500 0.500 0.739 Cd
0.000 0.000 0.500 Ir


SrFeCl3, single point on PBEsol structure, DFT SCAN; total DFT energy (no corrections) = -13.8323 eV/atom; formation energy without anion corrections = -4.82 eV/f.u.
1.0
5.510 0.000 0.000
0.000 5.510 0.000
0.000 0.000 5.510
Sr Fe Cl
1 1 3
Direct
0.000 0.000 0.000 Sr
0.500 0.500 0.500 Fe
0.000 0.000 0.500 Cl
0.000 0.500 0.000 Cl
0.500 0.000 0.000 Cl


Zr2PtF, single point on PBEsol structure, DFT SCAN; total DFT energy (no corrections) = -35.1486 eV/atom; formation energy without anion corrections = -5.46 eV/f.u.
1.0
0.000 3.229 3.229
3.229 0.000 3.229
3.229 3.229 0.000
Zr Pt F
2 1 1
Direct
0.250 0.250 0.250 Zr
0.750 0.750 0.750 Zr
0.000 0.000 0.000 Pt
0.500 0.500 0.500 F


Li2MgBi2, single point on PBEsol structure, DFT SCAN; E_form = -0.16 eV per atom; total DFT energy (no corrections) = -33.5453 eV/atom
1.0
-2.232 2.232 6.127
2.232 -2.232 6.127
2.232 2.232 -6.127
Li Mg Bi
2 1 2
Direct
0.250 0.750 0.500 Li
0.750 0.250 0.500 Li
0.000 0.000 0.000 Mg
0.381 0.381 0.000 Bi
0.619 0.619 0.000 Bi


Al2ZnCr, single point on PBEsol structure, DFT SCAN; E_form = -0.12 eV per atom; total DFT energy (no corrections) = -11.9682 eV/atom
1.0
-1.843 1.843 3.965
1.843 -1.843 3.965
1.843 1.843 -3.965
Al Zn Cr
2 1 1
Direct
0.250 0.750 0.500 Al
0.750 0.250 0.500 Al
0.000 0.000 0.000 Zn
0.500 0.500 0.000 Cr


AgPt2, single point on PBEsol structure, DFT SCAN; E_form = 0.06 eV per atom; total DFT energy (no corrections) = -57.1896 eV/atom; energy relative to the lowest polymorph listed for this composition = 63 meV/atom
1.0
4.873 0.000 0.000
-1.695 5.319 0.000
-0.848 -1.673 7.113
Ag Pt
4 8
Direct
0.000 0.078 0.333 Ag
0.000 0.922 0.667 Ag
0.497 0.336 0.834 Ag
0.503 0.664 0.166 Ag
0.002 0.574 0.334 Pt
0.010 0.752 0.001 Pt
0.499 0.165 0.169 Pt
0.500 0.000 0.500 Pt
0.500 0.500 0.500 Pt
0.501 0.835 0.831 Pt
0.990 0.248 0.999 Pt
0.998 0.426 0.666 Pt